(1)
Here is crystalline BaSrAc4O8 at its relaxed geometry from Alexandria. Energies are from PBE.

Results
- DFT total energy: -7.295 eV/atom
- Formation energy from raw total energies: -3.031 eV per atom
- D(E_F): 0.00 states/eV per cell
- Spin magnetization: 0.00 μB/cell
- Mass density: 6.80 g/cm3
- Space group: R3m, No. 160

Cell lengths 7.6011, 7.6011, 7.5550 Å; angles 59.80, 59.80, 60.00 degrees
With the nearest neighbours (Å) after each atom.
Positions (direct):
O  0.7567  0.7567  0.7300  4 Ac 2.51-2.62
O  0.7469  0.7469  0.2751  3 Ac 2.41-2.58
O  0.2370  0.2370  0.2890  3 Ac 2.54, 1 Sr 2.64
O  0.2312  0.7469  0.2751  3 Ac 2.41-2.58
O  0.2497  0.7839  0.7167  2 Ac 2.49, 1 Sr 2.50, 1 Ba 2.69
O  0.2497  0.2497  0.7167  2 Ac 2.49, 1 Sr 2.50, 1 Ba 2.69
O  0.7469  0.2312  0.2751  3 Ac 2.41-2.58
O  0.7839  0.2497  0.7167  2 Ac 2.49, 1 Sr 2.50, 1 Ba 2.69
Ac  0.0005  0.4967  0.5024  6 O 2.49-2.62
Ac  0.6205  0.6205  0.1386  4 O 2.41-2.51
Ac  0.4967  0.0005  0.5024  6 O 2.49-2.62
Ac  0.0005  0.0005  0.5024  6 O 2.49-2.62
Sr  0.3800  0.3800  0.8599  4 O 2.50-2.64
Ba  0.0000  0.0000  0.9999  6 O 2.69-2.72

=====

(2)
Here is crystalline Ba4AcTa3O12 at its relaxed geometry from Alexandria. Energies are from PBE.

Results
- DFT total energy: -8.178 eV/atom
- Formation energy from raw total energies: -2.835 eV per atom
- D(E_F): 6.16 states/eV per cell
- Spin magnetization: 0.00 μB/cell
- Mass density: 7.92 g/cm3
- Space group: Im-3m, No. 229

Cell lengths 7.4389, 7.4389, 7.4389 Å; angles 109.47, 109.47, 109.47 degrees
With the nearest neighbours (Å) after each atom.
Positions (direct):
Ba  0.5000  0.5000  0.5000  12 O 3.04
Ba  0.0000  0.0000  0.5000  12 O 3.04
Ba  0.5000  0.0000  0.0000  12 O 3.04
Ba  0.0000  0.5000  0.0000  12 O 3.04
O  0.5000  0.7500  0.2500  2 Ta 2.15
O  0.2738  0.0000  0.2738  1 Ta 1.94
O  0.7262  0.7262  0.0000  1 Ta 1.94
O  0.0000  0.7262  0.7262  1 Ta 1.94
O  0.7500  0.5000  0.2500  2 Ta 2.15
O  0.7500  0.2500  0.5000  2 Ta 2.15
O  0.7262  0.0000  0.7262  1 Ta 1.94
O  0.5000  0.2500  0.7500  2 Ta 2.15
O  0.2500  0.5000  0.7500  2 Ta 2.15
O  0.2500  0.7500  0.5000  2 Ta 2.15
O  0.2738  0.2738  0.0000  1 Ta 1.94
O  0.0000  0.2738  0.2738  1 Ta 1.94
Ta  0.5000  0.0000  0.5000  6 O 1.94-2.15
Ta  0.5000  0.5000  0.0000  6 O 1.94-2.15
Ta  0.0000  0.5000  0.5000  6 O 1.94-2.15
Ac  0.0000  0.0000  0.0000  6 O 2.35

=====

(3)
Here is crystalline Ba2AcTaO6 at its relaxed geometry from Alexandria. Energies are from PBE.

Results
- DFT total energy: -7.991 eV/atom
- Formation energy from raw total energies: -3.035 eV per atom
- D(E_F): 0.00 states/eV per cell
- Spin magnetization: 0.00 μB/cell
- Mass density: 7.53 g/cm3
- Space group: P2_1/c, No. 14

Cell lengths 6.2520, 6.2406, 8.8072 Å; angles 90.00, 90.80, 90.00 degrees
With the nearest neighbours (Å) after each atom.
Positions (direct):
O  0.5773  0.0176  0.2775  1 Ta 2.03
O  0.3039  0.7476  0.4555  1 Ta 2.03
O  0.8039  0.7524  0.9555  1 Ta 2.03
O  0.7474  0.7983  0.5408  1 Ta 2.02
O  0.6961  0.2524  0.5445  1 Ta 2.03
O  0.7526  0.2983  0.9592  1 Ta 2.02
O  0.2526  0.2017  0.4592  1 Ta 2.02
O  0.4227  0.9824  0.7225  1 Ta 2.03
O  0.2474  0.7017  0.0408  1 Ta 2.02
O  0.0773  0.4824  0.7775  1 Ta 2.03
O  0.1961  0.2476  0.0445  1 Ta 2.03
O  0.9227  0.5176  0.2225  1 Ta 2.03
Ba  0.0090  0.9773  0.2485  6 O 2.73-2.95
Ba  0.4910  0.4773  0.2515  6 O 2.73-2.95
Ba  0.5090  0.5227  0.7485  6 O 2.73-2.95
Ba  0.9910  0.0227  0.7515  6 O 2.73-2.95
Ac  0.5000  0.0000  0.0000  6 O 2.47-2.49
Ac  0.0000  0.5000  0.5000  6 O 2.47-2.49
Ta  0.0000  0.5000  0.0000  6 O 2.02-2.03
Ta  0.5000  0.0000  0.5000  6 O 2.02-2.03

=====

(4)
Here is crystalline BaAc2TaO6 at its relaxed geometry from Alexandria. Energies are from PBE.

Results
- DFT total energy: -8.039 eV/atom
- Formation energy from raw total energies: -2.865 eV per atom
- D(E_F): 2.83 states/eV per cell
- Spin magnetization: 0.70 μB/cell
- Mass density: 7.32 g/cm3
- Space group: P4mm, No. 99

Cell lengths 5.8825, 5.7855, 5.7855 Å; angles 90.00, 90.00, 90.00 degrees
With the nearest neighbours (Å) after each atom.
Positions (direct):
O  0.7449  0.2216  0.7784  1 Ta 1.98
O  0.7449  0.7784  0.7784  1 Ta 1.98
O  0.2877  0.0000  0.0000  1 Ta 1.89
O  0.0863  0.5000  0.5000  1 Ba 2.53
O  0.7449  0.7784  0.2216  1 Ta 1.98
O  0.7449  0.2216  0.2216  1 Ta 1.98
Ac  0.9842  0.0000  0.5000  4 O 2.49
Ac  0.9842  0.5000  0.0000  4 O 2.49
Ta  0.6084  0.0000  0.0000  5 O 1.89-1.98
Ba  0.5163  0.5000  0.5000  5 O 2.53-2.64

=====

(5)
Here is crystalline Ba2AcTa3O12 at its relaxed geometry from Alexandria. Energies are from PBE.

Results
- DFT total energy: -8.477 eV/atom
- Formation energy from raw total energies: -2.754 eV per atom
- D(E_F): 9.17 states/eV per cell
- Spin magnetization: 2.08 μB/cell
- Mass density: 7.12 g/cm3
- Space group: R-3m, No. 166

Cell lengths 7.2193, 7.2193, 7.2193 Å; angles 63.78, 63.78, 63.78 degrees
With the nearest neighbours (Å) after each atom.
Positions (direct):
O  0.8674  0.8674  0.4223  1 Ta 1.98
O  0.7253  0.0980  0.7253  2 Ta 2.00
O  0.2747  0.9020  0.2747  2 Ta 2.00
O  0.7253  0.7253  0.0980  2 Ta 2.00
O  0.8674  0.4223  0.8674  1 Ta 1.98
O  0.4223  0.8674  0.8674  1 Ta 1.98
O  0.1326  0.1326  0.5777  1 Ta 1.98
O  0.1326  0.5777  0.1326  1 Ta 1.98
O  0.0980  0.7253  0.7253  2 Ta 2.00
O  0.9020  0.2747  0.2747  2 Ta 2.00
O  0.2747  0.2747  0.9020  2 Ta 2.00
O  0.5777  0.1326  0.1326  1 Ta 1.98
Ba  0.3806  0.3806  0.3806  3 O 2.60
Ba  0.6194  0.6194  0.6194  3 O 2.60
Ac  0.0000  0.0000  0.0000  6 O 2.60
Ta  0.5000  0.0000  0.0000  6 O 1.98-2.00
Ta  0.0000  0.5000  0.0000  6 O 1.98-2.00
Ta  0.0000  0.0000  0.5000  6 O 1.98-2.00

=====

(6)
Here is crystalline BaAcTbO4 at its relaxed geometry from Alexandria. Energies are from PBE.

Results
- DFT total energy: -7.403 eV/atom
- Formation energy from raw total energies: -3.047 eV per atom
- D(E_F): 0.00 states/eV per cell
- Spin magnetization: 0.00 μB/cell
- Mass density: 7.53 g/cm3
- Space group: Cmcm, No. 63

Cell lengths 6.2139, 6.2906, 7.3177 Å; angles 90.00, 115.12, 90.00 degrees
With the nearest neighbours (Å) after each atom.
Positions (direct):
O  0.9365  0.2500  0.8730  1 Ac 2.33, 1 Tb 2.46
O  0.5000  0.5000  0.5000  2 Tb 2.21
O  0.0000  0.5000  0.5000  2 Tb 2.21
O  0.4167  0.7500  0.8333  1 Tb 2.22, 1 Ba 2.47
O  0.5000  0.0000  0.5000  2 Tb 2.21
O  0.0000  0.0000  0.5000  2 Tb 2.21
O  0.5833  0.2500  0.1667  1 Tb 2.22, 1 Ba 2.47
O  0.0635  0.7500  0.1270  1 Ac 2.33, 1 Tb 2.46
Tb  0.2490  0.7500  0.4981  6 O 2.21-2.46
Tb  0.7510  0.2500  0.5019  6 O 2.21-2.46
Ba  0.6032  0.7500  0.2064  1 O 2.47
Ba  0.3968  0.2500  0.7936  1 O 2.47
Ac  0.8876  0.7500  0.7752  1 O 2.33
Ac  0.1124  0.2500  0.2248  1 O 2.33

=====

(7)
Here is crystalline Ba2AcTbO4 at its relaxed geometry from Alexandria. Energies are from PBE.

Results
- DFT total energy: -6.705 eV/atom
- Formation energy from raw total energies: -2.653 eV per atom
- D(E_F): 2.76 states/eV per cell
- Spin magnetization: 0.00 μB/cell
- Mass density: 7.83 g/cm3
- Space group: P2/m, No. 10

Cell lengths 3.7140, 6.4901, 6.7161 Å; angles 108.42, 90.00, 90.00 degrees
With the nearest neighbours (Å) after each atom.
Positions (direct):
Ba  0.5000  0.0000  0.5000  6 O 2.83-2.84
Ba  0.0000  0.5000  0.5000  6 O 2.98-3.02
O  0.5000  0.2095  0.1888  2 Tb 2.41, 1 Ac 2.58
O  0.0000  0.7573  0.1964  1 Tb 2.35, 2 Ac 2.57
O  0.5000  0.7905  0.8112  2 Tb 2.41, 1 Ac 2.58
O  0.0000  0.2427  0.8036  1 Tb 2.35, 2 Ac 2.57
Ac  0.5000  0.5000  0.0000  6 O 2.57-2.58
Tb  0.0000  0.0000  0.0000  6 O 2.35-2.41

=====

(8)
Here is crystalline Ba3Ac3TbO8 at its relaxed geometry from Alexandria. Energies are from PBE.

Results
- DFT total energy: -6.958 eV/atom
- Formation energy from raw total energies: -2.798 eV per atom
- D(E_F): 6.07 states/eV per cell
- Spin magnetization: 0.00 μB/cell
- Mass density: 7.27 g/cm3
- Space group: R-3m, No. 166

Cell lengths 7.5544, 7.5544, 7.7261 Å; angles 119.27, 90.00, 120.00 degrees
With the nearest neighbours (Å) after each atom.
Positions (direct):
O  0.2175  0.9753  0.6928  1 Tb 2.35, 2 Ac 2.58
O  0.7825  0.5650  0.3072  1 Tb 2.35, 2 Ac 2.58
O  0.7383  0.4766  0.7149  3 Ac 2.58, 3 Ba 2.84
O  0.2422  0.0247  0.3072  1 Tb 2.35, 2 Ac 2.58
O  0.2175  0.4350  0.6928  1 Tb 2.35, 2 Ac 2.58
O  0.2617  0.5234  0.2851  3 Ac 2.58, 3 Ba 2.84
O  0.7578  0.9753  0.6928  1 Tb 2.35, 2 Ac 2.58
O  0.7825  0.0247  0.3072  1 Tb 2.35, 2 Ac 2.58
Ac  0.0000  0.5000  0.5000  6 O 2.58
Ac  0.5000  0.0000  0.5000  6 O 2.58
Ac  0.5000  0.5000  0.5000  6 O 2.58
Tb  0.0000  0.0000  0.5000  6 O 2.35
Ba  0.0000  0.0000  0.0000  6 O 2.84-2.87
Ba  0.5000  0.5000  0.0000  6 O 2.84-2.87
Ba  0.0000  0.5000  0.0000  6 O 2.84-2.87

=====

(9)
Here is crystalline BaAcTcO6 at its relaxed geometry from Alexandria. Energies are from PBE.

Results
- DFT total energy: -7.339 eV/atom
- Formation energy from raw total energies: -2.211 eV per atom
- Spin magnetization: 0.00 μB/cell
- Mass density: 5.58 g/cm3
- Space group: P312, No. 149

Cell lengths 5.9242, 5.9250, 5.4619 Å; angles 90.01, 90.00, 60.00 degrees
With the nearest neighbours (Å) after each atom.
Positions (direct):
O  0.0656  0.3366  0.3013  1 Tc 1.91
O  0.5978  0.3367  0.6987  1 Tc 1.91
O  0.3366  0.5976  0.3012  1 Tc 1.91
O  0.3367  0.0657  0.6988  1 Tc 1.91
O  0.0656  0.5978  0.6987  1 Tc 1.91
O  0.5977  0.0656  0.3013  1 Tc 1.91
Ba  0.9999  0.0000  0.0000  6 O 2.76
Tc  0.3333  0.3333  0.5000  6 O 1.91
Ac  0.6666  0.6667  0.5000  6 O 2.44

=====

(10)
Here is crystalline BaAc2TcO8 at its relaxed geometry from Alexandria. Energies are from PBE.

Results
- DFT total energy: -7.338 eV/atom
- Formation energy from raw total energies: -2.324 eV per atom
- D(E_F): 2.30 states/eV per cell
- Spin magnetization: 0.09 μB/cell
- Mass density: 7.42 g/cm3
- Space group: P2/m, No. 10

Cell lengths 5.4402, 4.6488, 7.5472 Å; angles 73.37, 90.00, 90.00 degrees
With the nearest neighbours (Å) after each atom.
Positions (direct):
O  0.2502  0.8184  0.8926  1 Tc 1.90
O  0.0000  0.3302  0.7727  1 Tc 1.95
O  0.5000  0.2300  0.5041  1 O 2.16
O  0.0000  0.6698  0.2273  1 Tc 1.95
O  0.7498  0.8184  0.8926  1 Tc 1.90
O  0.5000  0.7700  0.4959  1 O 2.16
O  0.2502  0.1816  0.1074  1 Tc 1.90
O  0.7498  0.1816  0.1074  1 Tc 1.90
Tc  0.0000  0.0000  0.0000  6 O 1.90-1.95
Ac  0.5000  0.6203  0.2099  4 O 2.43-2.68
Ac  0.5000  0.3797  0.7901  4 O 2.43-2.68
Ba  0.0000  0.0000  0.5000  12 O 2.90-3.20

=====

(11)
Here is crystalline BaAcTe2O8 at its relaxed geometry from Alexandria. Energies are from PBE.

Results
- DFT total energy: -6.068 eV/atom
- Formation energy from raw total energies: -1.736 eV per atom
- D(E_F): 3.62 states/eV per cell
- Spin magnetization: 0.00 μB/cell
- Mass density: 4.63 g/cm3
- Space group: P-3m1, No. 164

Cell lengths 6.1963, 6.1963, 8.0560 Å; angles 90.00, 90.00, 120.00 degrees
With the nearest neighbours (Å) after each atom.
Positions (direct):
Ac  0.0000  0.0000  0.5000  6 O 2.48
O  0.6667  0.3333  0.9823  1 Te 1.85
O  0.1640  0.3291  0.7160  1 Te 1.90
O  0.1651  0.8360  0.7160  1 Te 1.90
O  0.3333  0.6667  0.0177  1 Te 1.85
O  0.6709  0.8349  0.7160  1 Te 1.90
O  0.8349  0.1640  0.2840  1 Te 1.90
O  0.3291  0.1651  0.2840  1 Te 1.90
O  0.8360  0.6709  0.2840  1 Te 1.90
Te  0.6667  0.3333  0.2115  4 O 1.85-1.90
Te  0.3333  0.6667  0.7885  4 O 1.85-1.90
Ba  0.0000  0.0000  0.0000  6 O 2.89

=====

(12)
Here is crystalline BaAcTeO5 at its relaxed geometry from Alexandria. Energies are from PBE.

Results
- DFT total energy: -6.371 eV/atom
- Formation energy from raw total energies: -2.126 eV per atom
- D(E_F): 2.49 states/eV per cell
- Spin magnetization: 2.09 μB/cell
- Mass density: 5.61 g/cm3
- Space group: C2/c, No. 15

Cell lengths 6.6914, 6.6914, 8.7194 Å; angles 106.24, 106.24, 103.49 degrees
With the nearest neighbours (Å) after each atom.
Positions (direct):
Ac  0.0000  0.0000  0.5000  4 O 2.34-2.58
Ac  0.0000  0.0000  0.0000  4 O 2.34-2.58
Te  0.6908  0.3092  0.2500  4 O 1.89-2.02
Te  0.3092  0.6908  0.7500  4 O 1.89-2.02
O  0.4011  0.2597  0.1025  1 Te 1.89
O  0.2597  0.4011  0.6025  1 Te 1.89
O  0.6578  0.1271  0.3967  1 Te 2.02
O  0.8729  0.3422  0.1033  1 Te 2.02
O  0.1271  0.6578  0.8967  1 Te 2.02
O  0.0819  0.9181  0.2500  2 Ac 2.34, 1 Ba 2.52
O  0.9181  0.0819  0.7500  2 Ac 2.34, 1 Ba 2.52
O  0.5989  0.7403  0.8975  1 Te 1.89
O  0.3422  0.8729  0.6033  1 Te 2.02
O  0.7403  0.5989  0.3975  1 Te 1.89
Ba  0.3214  0.6786  0.2500  1 O 2.52
Ba  0.6786  0.3214  0.7500  1 O 2.52